The following is a GGA-PBE calculation of an optimized crystal structure of RbGd2Y, from Alexandria via LeMat-Bulk.

It has space group R-3m (No. 166, hexagonal axes), with a = 3.6523 Å, b = 3.6523 Å, c = 40.1629 Å, α = 90.00°, β = 90.00° and γ = 120.00°. Symmetry generates all atoms from Rb at (0.0000, 0.0000, 0.0000), Gd at (0.0000, 0.0000, 0.0965) and Y at (0.0000, 0.0000, 0.5000).

For the formation enthalpy at 0 K, the calculation gives 0.27 eV/atom. For the total energy, the calculation gives -8.624 eV per atom. The calculation puts the density of states at the Fermi level at 1.72 states/eV/atom. The total magnetic moment comes out at 45.130 μB/cell.